No. 1
Ba4LiIn | GGA-PBE | optimized geometry

electronic total energy: -2.1862 eV per atom
distance to the lowest polymorph of the same formula: 0 meV per atom
crystal system: tetragonal
formation energy from the elements: -12.4 kJ/mol of atoms
symmetry: No. 123
V: 48.472 Å³ per atom

Cell: 4.3505 4.3505 15.3660 Å, 90.01 90.01 90.00°
Atoms (fractional coordinates):
Li (0.0000, 0.0000, 0.0000)
Ba (0.0000, 0.0000, 0.3689)
Ba (0.5000, 0.5000, 0.8605)
Ba (0.0000, 0.0000, 0.6311)
Ba (0.5000, 0.5000, 0.1395)
In (0.5000, 0.5000, 0.5000)



No. 2
Gd2LuFe | GGA-PBE | optimized geometry

electronic total energy: -10.1884 eV per atom
distance to the lowest polymorph of the same formula: 0 meV per atom
crystal system: tetragonal
formation energy from the elements: 9.5 kJ/mol of atoms
symmetry: No. 123
V: 25.703 Å³ per atom

Cell: 3.4798 3.4798 8.4905 Å, 90.00 90.00 90.00°
Atoms (fractional coordinates):
Gd (0.0000, 0.0000, 0.8074)
Gd (0.0000, 0.0000, 0.1926)
Fe (0.5000, 0.5000, 0.0000)
Lu (0.5000, 0.5000, 0.5000)



No. 3
PuAl4Zn8 | GGA-PBE | optimized geometry

electronic total energy: -3.1350 eV per atom
crystal system: tetragonal
formation energy from the elements: -9.4 kJ/mol of atoms
symmetry: No. 139
V: 16.575 Å³ per atom

Cell: 5.5469 6.8219 6.8219 Å, 80.49 66.01 66.01°
Atoms (fractional coordinates):
Al (0.0000, 0.5000, 0.0000)
Al (0.5000, 0.5000, 0.0000)
Al (0.5000, 0.0000, 0.5000)
Al (0.0000, 0.0000, 0.5000)
Zn (0.0000, 0.3538, 0.6462)
Zn (0.3538, 0.6462, 0.6462)
Zn (0.2851, 0.2149, 0.2149)
Zn (0.5000, 0.7851, 0.2149)
Zn (0.5000, 0.2149, 0.7851)
Zn (0.7149, 0.7851, 0.7851)
Zn (0.0000, 0.6462, 0.3538)
Zn (0.6462, 0.3538, 0.3538)
Pu (0.0000, 0.0000, 0.0000)



No. 4
Ba3UAg2S6 | GGA-PBE | optimized geometry

formation energy (no corrections): -1251.4 meV per atom
electronic total energy: -5.2117 eV per atom
crystal system: trigonal
symmetry: No. 164
V: 30.454 Å³ per atom

Cell: 7.2960 7.2960 7.9274 Å, 90.00 90.00 120.00°
Atoms (fractional coordinates):
Ba (0.3333, 0.6667, 0.6144)
Ba (0.0000, 0.0000, 0.0000)
Ba (0.6667, 0.3333, 0.3856)
S (0.1652, 0.3304, 0.3039)
S (0.8348, 0.6696, 0.6961)
S (0.8348, 0.1652, 0.6961)
S (0.3304, 0.1652, 0.6961)
S (0.6696, 0.8348, 0.3039)
S (0.1652, 0.8348, 0.3039)
Ag (0.3333, 0.6667, 0.1268)
Ag (0.6667, 0.3333, 0.8732)
U (0.0000, 0.0000, 0.5000)



No. 5
Ac2La3NdSb6 | GGA-PBE | optimized geometry

formation energy (no corrections): -1232.8 meV per atom
electronic total energy: -5.6079 eV per atom
crystal system: monoclinic
symmetry: No. 12
V: 36.036 Å³ per atom

Cell: 8.0918 8.0918 8.0889 Å, 99.61 99.61 119.99°
Atoms (fractional coordinates):
Sb (0.9154, 0.5900, 0.7454)
Sb (0.4100, 0.0846, 0.2546)
Sb (0.2393, 0.2393, 0.7434)
Sb (0.7607, 0.7607, 0.2566)
Sb (0.5900, 0.9154, 0.7454)
Sb (0.0846, 0.4100, 0.2546)
La (0.1686, 0.8314, 0.5000)
La (0.8314, 0.1686, 0.5000)
La (0.5000, 0.5000, 0.5000)
Ac (0.3341, 0.6659, 0.0000)
Ac (0.6659, 0.3341, 0.0000)
Nd (0.0000, 0.0000, 0.0000)



No. 6
Sm4Tl5Cu2 | GGA-PBE | optimized geometry

electronic total energy: -3.8038 eV per atom
crystal system: monoclinic
formation energy from the elements: -25.8 kJ/mol of atoms
symmetry: No. 10
V: 26.466 Å³ per atom

Cell: 3.7641 7.9902 9.6952 Å, 93.24 90.00 90.00°
Atoms (fractional coordinates):
Cu (0.0000, 0.9300, 0.3770)
Cu (0.0000, 0.0700, 0.6230)
Sm (0.5000, 0.1972, 0.8502)
Sm (0.5000, 0.8028, 0.1498)
Sm (0.5000, 0.2200, 0.4242)
Sm (0.5000, 0.7800, 0.5758)
Tl (0.0000, 0.4489, 0.6625)
Tl (0.0000, 0.5511, 0.3375)
Tl (0.0000, 0.1444, 0.1395)
Tl (0.0000, 0.8556, 0.8605)
Tl (0.0000, 0.5000, 0.0000)



No. 7
Li2HgPd2 | GGA-PBE | optimized geometry

electronic total energy: -3.1870 eV per atom
distance to the lowest polymorph of the same formula: 60 meV per atom
crystal system: orthorhombic
formation energy from the elements: -27.4 kJ/mol of atoms
symmetry: No. 71
V: 15.469 Å³ per atom

Cell: 4.7818 4.7818 5.5729 Å, 125.63 125.63 85.50°
Atoms (fractional coordinates):
Li (0.4998, 0.4998, 0.2028)
Li (0.5002, 0.5002, 0.7972)
Pd (0.2043, 0.7957, 0.5000)
Pd (0.7957, 0.2043, 0.5000)
Hg (0.0000, 0.0000, 0.0000)



No. 8
BaHgSe2 | GGA-PBE | optimized geometry

formation energy (no corrections): -1079.4 meV per atom
electronic total energy: -3.3778 eV per atom
crystal system: monoclinic
symmetry: No. 6
V: 36.164 Å³ per atom

Cell: 4.5394 4.5307 7.1432 Å, 79.94 90.00 90.00°
Atoms (fractional coordinates):
Se (0.5000, 0.0524, 0.3212)
Se (0.0000, 0.9327, 0.7819)
Ba (0.0000, 0.5244, 0.4333)
Hg (0.5000, 0.9905, 0.9637)



No. 9
DyHo6Mg | GGA-PBE | optimized geometry

electronic total energy: -4.0710 eV per atom
distance to the lowest polymorph of the same formula: 98 meV per atom
crystal system: trigonal
formation energy from the elements: 13.2 kJ/mol of atoms
symmetry: No. 148
V: 30.766 Å³ per atom

Cell: 8.5012 9.2839 6.2944 Å, 42.46 47.51 56.84°
Atoms (fractional coordinates):
Ho (0.9547, 0.5303, 0.7582)
Ho (0.5303, 0.2431, 0.2722)
Ho (0.7570, 0.9545, 0.8188)
Ho (0.0453, 0.4697, 0.2418)
Ho (0.2430, 0.0455, 0.1812)
Ho (0.4697, 0.7569, 0.7278)
Mg (0.0000, 0.0000, 0.0000)
Dy (0.5000, 0.5000, 0.5000)



No. 10
CeHo3Co2 | GGA-PBE | optimized geometry

electronic total energy: -5.7565 eV per atom
distance to the lowest polymorph of the same formula: 58 meV per atom
crystal system: monoclinic
formation energy from the elements: -10.6 kJ/mol of atoms
symmetry: No. 12
V: 24.978 Å³ per atom

Cell: 3.8316 8.4874 10.2175 Å, 68.80 79.19 76.95°
Atoms (fractional coordinates):
Co (0.6166, 0.2274, 0.5395)
Co (0.1377, 0.5461, 0.1786)
Co (0.8623, 0.4539, 0.8214)
Co (0.3834, 0.7726, 0.4605)
Ho (0.0493, 0.1395, 0.7619)
Ho (0.2444, 0.1348, 0.3764)
Ho (0.9507, 0.8605, 0.2381)
Ho (0.3358, 0.3104, 0.0181)
Ho (0.7556, 0.8652, 0.6236)
Ho (0.6642, 0.6896, 0.9819)
Ce (0.4092, 0.5227, 0.6590)
Ce (0.5908, 0.4773, 0.3410)



No. 11
LiPmYLu | GGA-PBE | optimized geometry

electronic total energy: -4.2620 eV per atom
crystal system: cubic
formation energy from the elements: 14.5 kJ/mol of atoms
symmetry: No. 216
V: 29.200 Å³ per atom

Cell: 5.4868 5.4868 5.4868 Å, 60.00 60.00 60.00°
Atoms (fractional coordinates):
Li (0.0000, 0.0000, 0.0000)
Y (0.7500, 0.7500, 0.7500)
Pm (0.2500, 0.2500, 0.2500)
Lu (0.5000, 0.5000, 0.5000)



No. 12
VBiB2Mo | GGA-PBE | optimized geometry

electronic total energy: -4.5804 eV per atom
crystal system: tetragonal
formation energy from the elements: 275.6 kJ/mol of atoms
symmetry: No. 123
V: 20.712 Å³ per atom

Cell: 4.4974 5.1201 4.4974 Å, 90.00 90.00 90.00°
Atoms (fractional coordinates):
Bi (0.0000, 0.0000, 0.0000)
B (0.5000, 0.0000, 0.0000)
B (0.0000, 0.0000, 0.5000)
V (0.0000, 0.5000, 0.0000)
Mo (0.5000, 0.5000, 0.5000)



No. 13
Rb3Pm3MnTe8 | GGA-PBE | optimized geometry

formation energy (no corrections): -1082.2 meV per atom
electronic total energy: -4.5127 eV per atom
crystal system: trigonal
symmetry: No. 166
V: 40.541 Å³ per atom

Cell: 8.9443 8.9452 10.1841 Å, 116.05 90.00 120.01°
Atoms (fractional coordinates):
Pm (0.5000, 0.0000, 0.5000)
Pm (0.5000, 0.5000, 0.5000)
Pm (0.0000, 0.5000, 0.5000)
Te (0.7641, 0.9746, 0.6851)
Te (0.2105, 0.9746, 0.6851)
Te (0.7353, 0.4707, 0.7060)
Te (0.2647, 0.5293, 0.2940)
Te (0.7894, 0.5789, 0.3149)
Te (0.7895, 0.0254, 0.3149)
Te (0.2106, 0.4211, 0.6851)
Te (0.2359, 0.0254, 0.3149)
Rb (0.0000, 0.0000, 0.0000)
Rb (0.5000, 0.5000, 0.0000)
Rb (0.0000, 0.5000, 0.0000)
Mn (0.0000, 0.0000, 0.5000)



No. 14
Cs3PmAs2O8 | GGA-PBE | optimized geometry

formation energy (no corrections): -1983.2 meV per atom
electronic total energy: -6.0029 eV per atom
crystal system: trigonal
symmetry: No. 164
V: 20.455 Å³ per atom

Cell: 6.1415 6.1415 8.7669 Å, 90.00 90.00 120.00°
Atoms (fractional coordinates):
O (0.1798, 0.3596, 0.3457)
O (0.8202, 0.6404, 0.6543)
O (0.6404, 0.8202, 0.3457)
O (0.6667, 0.3333, 0.9148)
O (0.3596, 0.1798, 0.6543)
O (0.3333, 0.6667, 0.0852)
O (0.8202, 0.1798, 0.6543)
O (0.1798, 0.8202, 0.3457)
Cs (0.6667, 0.3333, 0.2461)
Cs (0.3333, 0.6667, 0.7539)
Cs (0.0000, 0.0000, 0.0000)
Pm (0.0000, 0.0000, 0.5000)
As (0.3333, 0.6667, 0.2788)
As (0.6667, 0.3333, 0.7212)



No. 15
RbSnHg2S | GGA-PBE | optimized geometry

formation energy (no corrections): -254.2 meV per atom
electronic total energy: -2.1945 eV per atom
crystal system: tetragonal
symmetry: No. 123
V: 35.085 Å³ per atom

Cell: 5.6991 5.6991 5.4011 Å, 90.00 90.00 90.00°
Atoms (fractional coordinates):
Hg (0.0000, 0.5000, 0.0000)
Hg (0.5000, 0.0000, 0.0000)
Sn (0.0000, 0.0000, 0.0000)
S (0.0000, 0.0000, 0.5000)
Rb (0.5000, 0.5000, 0.5000)



No. 16
InSb2P | GGA-PBE | optimized geometry

formation energy (no corrections): 212.3 meV per atom
electronic total energy: -3.8860 eV per atom
distance to the lowest polymorph of the same formula: 121 meV per atom
crystal system: monoclinic
symmetry: No. 12
V: 24.748 Å³ per atom

Cell: 5.9874 5.9874 5.3583 Å, 65.36 65.36 34.96°
Atoms (fractional coordinates):
Sb (0.5456, 0.5456, 0.4504)
Sb (0.9544, 0.9544, 0.0496)
In (0.7500, 0.7500, 0.7500)
P (0.2500, 0.2500, 0.2500)



No. 17
NdHoIr4 | GGA-PBE | optimized geometry

electronic total energy: -8.2142 eV per atom
crystal system: cubic
formation energy from the elements: -72.3 kJ/mol of atoms
symmetry: No. 216
V: 18.524 Å³ per atom

Cell: 5.3967 5.3967 5.3967 Å, 60.00 60.00 60.00°
Atoms (fractional coordinates):
Ir (0.6248, 0.1256, 0.6248)
Ir (0.6248, 0.6248, 0.6248)
Ir (0.6248, 0.6248, 0.1256)
Ir (0.1256, 0.6248, 0.6248)
Nd (0.0000, 0.0000, 0.0000)
Ho (0.2500, 0.2500, 0.2500)



No. 18
Ca2BeSb | GGA-PBE | optimized geometry

formation energy (no corrections): -416.0 meV per atom
electronic total energy: -3.3789 eV per atom
distance to the lowest polymorph of the same formula: 0 meV per atom
crystal system: orthorhombic
symmetry: No. 38
V: 26.448 Å³ per atom

Cell: 4.1534 4.4882 6.1028 Å, 68.42 90.00 90.00°
Atoms (fractional coordinates):
Be (0.5000, 0.5553, 0.7631)
Ca (0.0000, 0.9830, 0.9093)
Ca (0.5000, 0.2719, 0.3316)
Sb (0.0000, 0.6897, 0.4961)



No. 19
CdCu3Pd6 | GGA-PBE | optimized geometry

electronic total energy: -4.4659 eV per atom
distance to the lowest polymorph of the same formula: 118 meV per atom
crystal system: orthorhombic
formation energy from the elements: -2.9 kJ/mol of atoms
symmetry: No. 36
V: 15.447 Å³ per atom

Cell: 5.3750 7.6622 7.6622 Å, 101.76 90.00 90.00°
Atoms (fractional coordinates):
Cu (0.8991, 0.7507, 0.0068)
Cu (0.8991, 0.9932, 0.2493)
Cu (0.3429, 0.4968, 0.5032)
Cu (0.8429, 0.5032, 0.4968)
Cu (0.3991, 0.2493, 0.9932)
Cu (0.3991, 0.0068, 0.7507)
Pd (0.5829, 0.3093, 0.6907)
Pd (0.1053, 0.2929, 0.2534)
Pd (0.8091, 0.9687, 0.5628)
Pd (0.1053, 0.7466, 0.7071)
Pd (0.0829, 0.6907, 0.3093)
Pd (0.3550, 0.9331, 0.0669)
Pd (0.6053, 0.7071, 0.7466)
Pd (0.3091, 0.0313, 0.4372)
Pd (0.8550, 0.0669, 0.9331)
Pd (0.3091, 0.5628, 0.9687)
Pd (0.6053, 0.2534, 0.2929)
Pd (0.8091, 0.4372, 0.0313)
Cd (0.0774, 0.2922, 0.7078)
Cd (0.5774, 0.7078, 0.2922)



No. 20
LiPtSe2 | GGA-PBE | optimized geometry

formation energy (no corrections): -442.6 meV per atom
electronic total energy: -4.1735 eV per atom
crystal system: orthorhombic
symmetry: No. 25
V: 17.657 Å³ per atom

Cell: 5.1957 3.0357 4.4778 Å, 90.00 90.00 90.00°
Atoms (fractional coordinates):
Se (0.5000, 0.3747, 0.3443)
Se (0.0000, 0.8752, 0.9084)
Li (0.0000, 0.3750, 0.4085)
Pt (0.5000, 0.8750, 0.8388)